Entry 1:
VASP calculation (PBE) on a relaxed KNaMgH2 crystal.

Structure (extended XYZ):
```
5
Lattice="4.9523 0.0000 0.0000 0.0000 4.9523 0.0000 0.0000 0.0000 6.2383" Properties=species:S:1:pos:R:3 pbc="T T T"
K 0.0000 0.0000 0.0000
Na 2.4762 2.4762 3.1192
Mg 0.0000 0.0000 3.1192
H 0.0000 2.4762 0.0000
H 2.4762 0.0000 0.0000
```

Output
Total DFT energy (no corrections): -7.7 eV per cell
Spin magnetization: 0.00 μB/atom

***

Entry 2:
VASP calculation (PBE) on a relaxed K2NaMgH5 crystal.

Structure (extended XYZ):
```
18
Lattice="1.7906 -7.0925 0.0000 1.7906 7.0925 0.0000 0.0000 0.0000 11.4998" Properties=species:S:1:pos:R:3 pbc="T T T"
K 1.7906 5.6659 5.7499
K 1.7906 4.9260 1.4460
K 1.7906 -4.9260 7.1959
K 1.7906 -5.6659 0.0000
Na 1.7906 4.1046 9.6625
Na 1.7906 -4.1046 3.9126
Mg 1.7906 0.3940 3.0015
Mg 1.7906 -0.3940 8.7514
H 1.7906 6.4901 9.4918
H 1.7906 3.0828 5.3819
H 1.7906 2.3121 2.4404
H 1.7906 1.5439 9.3539
H 1.7906 0.1577 6.9584
H 1.7906 -0.1577 1.2085
H 1.7906 -1.5439 3.6040
H 1.7906 -2.3121 8.1903
H 1.7906 -3.0828 11.1319
H 1.7906 -6.4901 3.7419
```

Output
Total DFT energy (no corrections): -47.3 eV per cell
Spin magnetization: 0.00 μB/atom

***

Entry 3:
VASP calculation (PBE) on a relaxed KMgNiH6 crystal.

Structure (extended XYZ):
```
9
Lattice="4.7237 0.0000 0.0000 -2.3619 4.0909 0.0000 0.0000 0.0000 5.5457" Properties=species:S:1:pos:R:3 pbc="T T T"
K 0.0000 0.0000 0.0000
Mg 0.0000 2.7272 2.7728
Ni 2.3619 1.3636 2.7728
H 1.9263 0.2512 3.7917
H 1.1807 1.5427 1.7540
H 2.7974 0.2512 1.7540
H 1.6162 2.2970 3.7917
H 3.5430 1.5427 3.7917
H 3.1075 2.2970 1.7540
```

Output
Total DFT energy (no corrections): -29.8 eV per cell
Spin magnetization: 0.00 μB/atom